Entry from Alexandria via LeMat-Bulk: a relaxed structure of Cr2OsRh (PBE).

Unit cell a=4.523 b=4.523 c=4.523 alpha=130.56 beta=130.56 gamma=72.51
Element x y z (fractional)
Cr 0.500 0.500 0.000
Cr 0.000 0.000 0.000
Rh 0.250 0.750 0.500
Os 0.750 0.250 0.500

Results
The total energy comes out at -37.726 eV for the cell shown. The offset from the most stable computed form comes out at 0 meV per atom. The value obtained for the calculated formation energy is 0.026 eV/atom.